a.
A relaxed NaMgTa3 crystal. Source: the Alexandria database, functional GGA-PBE.

Cell lengths 4.7277, 4.7277, 4.7277 Å; angles 90.00, 90.00, 90.00 degrees
Closest atoms and distances in Å follow each position.
Atoms (fractional coordinates):
Na 0.0000 0.0000 0.0000  6 Ta 2.36
Mg 0.5000 0.5000 0.5000  12 Ta 3.34
Ta 0.0000 0.5000 0.0000  2 Na 2.36
Ta 0.0000 0.0000 0.5000  2 Na 2.36
Ta 0.5000 0.0000 0.0000  2 Na 2.36

Crystal system: cubic
Space group: Pm-3m, No. 221
Spin magnetization: 0.0 μB per cell

***

b.
A relaxed NaMgTa3 crystal. Source: the Alexandria database, functional GGA-PBE.

Cell lengths 4.8632, 4.8632, 4.8632 Å; angles 90.00, 90.00, 90.00 degrees
Closest atoms and distances in Å follow each position.
Atoms (fractional coordinates):
Na 0.5000 0.5000 0.5000  12 Ta 3.44
Mg 0.0000 0.0000 0.0000  6 Ta 2.43
Ta 0.0000 0.5000 0.0000  2 Mg 2.43
Ta 0.0000 0.0000 0.5000  2 Mg 2.43
Ta 0.5000 0.0000 0.0000  2 Mg 2.43

Crystal system: cubic
Space group: Pm-3m, No. 221
Spin magnetization: 0.0 μB per cell

***

In meV per atom, relative to the most stable structure: a 98; b 0.

***

a.
A relaxed NaTb2Mg crystal. Source: the Alexandria database, functional GGA-PBE.

Cell lengths 3.4327, 3.4327, 12.5618 Å; angles 82.15, 82.15, 60.00 degrees
Closest atoms and distances in Å follow each position.
Atoms (fractional coordinates):
Na 0.0000 0.0000 0.0000  6 Na 3.43, 2 Tb 3.53
Mg 0.5000 0.5000 0.5000  6 Tb 3.32, 6 Mg 3.43
Tb 0.0950 0.0950 0.7150  3 Mg 3.32, 6 Tb 3.43, 1 Na 3.53
Tb 0.9050 0.9050 0.2850  3 Mg 3.32, 6 Tb 3.43, 1 Na 3.53

Crystal system: trigonal
Space group: R-3m, No. 166
Spin magnetization: 0.0 μB per cell

***

b.
A relaxed NaTb2Mg crystal. Source: the Alexandria database, functional GGA-PBE.

Cell lengths 3.7749, 3.7749, 8.5461 Å; angles 90.00, 90.00, 90.00 degrees
Closest atoms and distances in Å follow each position.
Atoms (fractional coordinates):
Na 0.5000 0.5000 0.5000  8 Tb 3.63, 4 Na 3.77
Mg 0.5000 0.5000 0.0000  8 Tb 3.23
Tb 0.0000 0.0000 0.7877  4 Mg 3.23
Tb 0.0000 0.0000 0.2123  4 Mg 3.23

Crystal system: tetragonal
Space group: P4/mmm, No. 123
Spin magnetization: 0.0 μB per cell

***

In meV per atom, relative to the most stable structure: a 50; b 0.

***

a.
A relaxed NaMg2Tc crystal. Source: the Alexandria database, functional GGA-PBE.

Cell lengths 4.2089, 4.2089, 10.1292 Å; angles 78.01, 78.01, 90.00 degrees
Closest atoms and distances in Å follow each position.
Atoms (fractional coordinates):
Na 0.5000 0.5000 0.0000  4 Mg 2.88, 4 Tc 2.98
Na 0.2500 0.7500 0.5000  4 Mg 2.88, 4 Tc 2.98
Mg 0.6511 0.1250 0.2500  2 Tc 2.80, 4 Mg 2.82-3.14, 2 Na 2.88
Mg 0.0989 0.6250 0.2500  2 Tc 2.80, 4 Mg 2.82-3.14, 2 Na 2.88
Mg 0.3750 0.3489 0.7500  2 Tc 2.80, 4 Mg 2.82-3.14, 2 Na 2.88
Mg 0.8750 0.9011 0.7500  2 Tc 2.80, 4 Mg 2.82-3.14, 2 Na 2.88
Tc 0.0000 0.0000 0.0000  4 Mg 2.80, 4 Na 2.98
Tc 0.7500 0.2500 0.5000  4 Mg 2.80, 4 Na 2.98

Crystal system: tetragonal
Space group: I-42d, No. 122
Spin magnetization: 1.8 μB per cell

***

b.
A relaxed NaMg2Tc crystal. Source: the Alexandria database, functional GGA-PBE.

Cell lengths 4.8080, 4.8080, 4.8080 Å; angles 60.00, 60.00, 60.00 degrees
Closest atoms and distances in Å follow each position.
Atoms (fractional coordinates):
Na 0.0000 0.0000 0.0000  8 Mg 2.94
Mg 0.2500 0.2500 0.2500  4 Tc 2.94, 4 Na 2.94
Mg 0.7500 0.7500 0.7500  4 Tc 2.94, 4 Na 2.94
Tc 0.5000 0.5000 0.5000  8 Mg 2.94

Crystal system: cubic
Space group: Fm-3m, No. 225
Spin magnetization: 1.6 μB per cell

***

In meV per atom, relative to the most stable structure: a 429; b 0.

***

a.
A relaxed Na2MgTe2 crystal. Source: the Alexandria database, functional GGA-PBE.

Cell lengths 6.7510, 7.5791, 8.0294 Å; angles 118.16, 114.86, 90.00 degrees
Closest atoms and distances in Å follow each position.
Atoms (fractional coordinates):
Na 0.8649 0.7211 0.7299  3 Te 3.14-3.30
Na 0.1351 0.2789 0.2701  3 Te 3.14-3.30
Na 0.6351 0.9913 0.2701  3 Te 3.14-3.30
Na 0.3649 0.0087 0.7299  3 Te 3.14-3.30
Mg 0.7500 0.5000 0.0000  4 Te 2.82
Mg 0.2500 0.5000 0.0000  4 Te 2.82
Te 0.3822 0.6081 0.7645  2 Mg 2.82, 1 Na 3.14
Te 0.6178 0.3919 0.2355  2 Mg 2.82, 1 Na 3.14
Te 0.1178 0.8437 0.2355  2 Mg 2.82, 1 Na 3.14
Te 0.8822 0.1563 0.7645  2 Mg 2.82, 1 Na 3.14

Crystal system: orthorhombic
Space group: Ibam, No. 72
Spin magnetization: 0.0 μB per cell

***

b.
A relaxed Na2MgTe2 crystal. Source: the Alexandria database, functional GGA-PBE.

Cell lengths 8.0736, 8.0736, 4.5642 Å; angles 90.00, 90.00, 90.00 degrees
Closest atoms and distances in Å follow each position.
Atoms (fractional coordinates):
Na 0.1340 0.6340 0.5000  1 Na 3.06, 2 Te 3.12
Na 0.6340 0.8660 0.5000  1 Na 3.06, 2 Te 3.12
Na 0.8660 0.3660 0.5000  1 Na 3.06, 2 Te 3.12
Na 0.3660 0.1340 0.5000  1 Na 3.06, 2 Te 3.12
Mg 0.0000 0.0000 0.0000  4 Te 2.97
Mg 0.5000 0.5000 0.0000  4 Te 2.97
Te 0.3205 0.8205 0.0000  2 Mg 2.97, 2 Na 3.12
Te 0.8205 0.6795 0.0000  2 Mg 2.97, 2 Na 3.12
Te 0.6795 0.1795 0.0000  2 Mg 2.97, 2 Na 3.12
Te 0.1795 0.3205 0.0000  2 Mg 2.97, 2 Na 3.12

Crystal system: tetragonal
Space group: P4/mbm, No. 127
Spin magnetization: 0.0 μB per cell

***

In meV per atom, relative to the most stable structure: a 0; b 205.